ErTmPO | PBE | relaxed

Lattice parameters (Å, degrees): 4.265 4.265 8.392 90.00 90.00 90.00
Positions (direct):
Er 0.250 0.750 0.000
Er 0.750 0.250 0.000
Tm 0.250 0.250 0.401
Tm 0.750 0.750 0.599
P 0.250 0.250 0.801
P 0.750 0.750 0.199
O 0.250 0.750 0.500
O 0.750 0.250 0.500

## Properties
Calculated density in g/cm3: 8.3
E above lowest polymorph in meV/atom: 109
Total magnetic moment in μB/f.u.: 0.0
DFT total energy in eV/atom: -6.7678